i:
Computed, not measured: a relaxed structure of YEr3Th2 at the PBE level of DFT.

## Properties
Density of states at the Fermi level in states/eV/atom: 1.756
Crystal system: monoclinic
Calculated density in g cm⁻³: 9.2

Cell lengths 6.9696, 11.2403, 9.7418 Å; angles 90.00, 90.09, 90.00 degrees
With the nearest neighbours (Å) after each atom.
Space group C2/c (No. 15)
Symmetry-distinct sites (fractional):
Y (0.0000, 0.1241, 0.2500) (multiplicity 4)  8 Er 3.48-3.74, 6 Th 3.61-3.75
Er (0.0000, 0.3752, 0.7500) (multiplicity 4)  2 Y 3.48, 6 Th 3.60-3.75, 6 Er 3.62-3.75
Er (0.2499, 0.1293, 0.5904) (multiplicity 8)  2 Er 3.24-3.62, 4 Th 3.25-3.49
Th (0.2491, 0.3777, 0.0743) (multiplicity 8)  1 Th 3.22, 4 Er 3.25-3.49

***

ii:
Computed, not measured: a relaxed structure of YEr3Th2 at the PBE level of DFT.

## Properties
Density of states at the Fermi level in states/eV/atom: 1.591
Crystal system: monoclinic
Calculated density in g cm⁻³: 9.1

Cell lengths 23.3614, 3.4502, 10.0851 Å; angles 90.00, 108.28, 90.00 degrees
With the nearest neighbours (Å) after each atom.
Space group C2/m (No. 12)
Symmetry-distinct sites (fractional):
Y (0.1868, 0.0000, 0.0368) (multiplicity 4)  5 Er 3.34-3.63, 3 Th 3.40-3.61, 4 Y 3.45-3.69
Er (0.0586, 0.0000, 0.4444) (multiplicity 4)  6 Er 3.27-3.52, 3 Th 3.36-3.64
Er (0.0672, 0.5000, 0.7727) (multiplicity 4)  8 Er 3.45-3.68, 2 Th 3.62-3.64, 2 Y 3.63
Er (0.1944, 0.0000, 0.7111) (multiplicity 4)  3 Y 3.34-3.57, 3 Th 3.35-3.53, 5 Er 3.45-3.65
Th (0.0711, 0.5000, 0.1367) (multiplicity 4)  5 Th 3.45-3.59, 2 Y 3.61, 4 Er 3.62-3.64
Th (0.1903, 0.0000, 0.3762) (multiplicity 4)  4 Er 3.35-3.53, 1 Y 3.40, 6 Th 3.45-3.55

***

i (3.5 kJ/mol of atoms below the next structure)

***

i:
Computed, not measured: a relaxed structure of Y5Er12Th2 at the PBE level of DFT.

## Properties
Density of states at the Fermi level in states/eV/atom: 1.683
Crystal system: triclinic
Calculated density in g cm⁻³: 8.0

Cell lengths 6.0567, 9.5659, 11.2201 Å; angles 69.93, 82.29, 89.08 degrees
With the nearest neighbours (Å) after each atom.
Space group P-1 (No. 2)
Symmetry-distinct sites (fractional):
Y (0.0000, 0.0000, 0.0000) (multiplicity 1)  8 Er 3.20-3.58
Y (0.1091, 0.9563, 0.3419) (multiplicity 2)  7 Er 3.32-3.61, 1 Th 3.68
Y (0.4969, 0.5527, 0.8317) (multiplicity 2)  8 Er 3.37-3.61, 1 Th 3.50, 1 Y 3.56
Er (0.0395, 0.6872, 0.6553) (multiplicity 2)  5 Er 3.37-3.75, 2 Th 3.38-3.50, 4 Y 3.52-3.61
Er (0.0726, 0.3135, 0.0421) (multiplicity 2)  3 Y 3.24-3.58, 4 Er 3.37-3.51
Er (0.1769, 0.3201, 0.7246) (multiplicity 2)  4 Er 3.29-3.51, 3 Th 3.34-3.50, 3 Y 3.52-3.58
Er (0.3771, 0.9125, 0.7849) (multiplicity 2)  4 Y 3.32-3.47, 5 Er 3.39-3.57
Er (0.4231, 0.8147, 0.1007) (multiplicity 2)  2 Y 3.20-3.37, 4 Er 3.29-3.57, 1 Th 3.55
Er (0.4282, 0.1876, 0.4847) (multiplicity 2)  6 Er 3.42-3.59, 2 Th 3.50-3.58, 4 Y 3.54-3.82
Th (0.2756, 0.5667, 0.4195) (multiplicity 2)  8 Er 3.34-3.58, 2 Th 3.45-3.60, 2 Y 3.50-3.68

***

ii:
Computed, not measured: a relaxed structure of Y5Er12Th2 at the PBE level of DFT.

## Properties
Density of states at the Fermi level in states/eV/atom: 1.530
Crystal system: monoclinic
Calculated density in g cm⁻³: 7.9

Cell lengths 15.6157, 9.2889, 8.4671 Å; angles 90.00, 91.72, 90.00 degrees
With the nearest neighbours (Å) after each atom.
Space group C2/m (No. 12)
Symmetry-distinct sites (fractional):
Y (0.0000, 0.0000, 0.0000) (multiplicity 2)  10 Er 3.47-3.72, 2 Y 3.68
Y (0.1976, 0.5000, 0.5138) (multiplicity 4)  8 Er 3.47-3.65, 2 Th 3.50, 1 Y 3.62
Y (0.2337, 0.0000, 0.0744) (multiplicity 4)  10 Er 3.37-3.77, 2 Y 3.62-3.68
Er (0.0556, 0.5000, 0.8272) (multiplicity 4)  2 Th 3.32, 2 Y 3.37-3.51, 7 Er 3.38-3.49
Er (0.0856, 0.0000, 0.3833) (multiplicity 4)  5 Er 3.37-3.61, 2 Th 3.43, 3 Y 3.47-3.54
Er (0.1278, 0.3074, 0.1598) (multiplicity 8)  6 Er 3.38-3.74, 4 Y 3.39-3.72, 1 Th 3.56
Er (0.1524, 0.1797, 0.7440) (multiplicity 8)  4 Er 3.34-3.61, 1 Th 3.37, 4 Y 3.47-3.67
Th (0.0000, 0.3211, 0.5000) (multiplicity 4)  8 Er 3.32-3.56, 1 Th 3.32, 2 Y 3.50

***

i (2.4 kJ/mol of atoms below the next structure)

***

i:
Computed, not measured: a relaxed structure of Y2Er12Th5 at the PBE level of DFT.

## Properties
Density of states at the Fermi level in states/eV/atom: 1.581
Crystal system: monoclinic
Calculated density in g cm⁻³: 9.0

Cell lengths 21.8091, 6.9440, 8.6000 Å; angles 90.00, 109.01, 90.00 degrees
With the nearest neighbours (Å) after each atom.
Space group C2/m (No. 12)
Symmetry-distinct sites (fractional):
Y (0.0000, 0.2457, 0.0000) (multiplicity 4)  6 Er 3.36-3.60, 2 Y 3.41-3.53, 2 Th 3.58
Er (0.0474, 0.0000, 0.6887) (multiplicity 4)  3 Er 3.23-3.61, 1 Th 3.46, 2 Y 3.60
Er (0.1085, 0.2420, 0.3806) (multiplicity 8)  1 Y 3.36, 6 Er 3.36-3.73, 4 Th 3.38-3.40
Er (0.1500, 0.5000, 0.0803) (multiplicity 4)  3 Th 3.47-3.50, 6 Er 3.50-3.52, 2 Y 3.58
Er (0.2010, 0.2483, 0.7897) (multiplicity 8)  7 Er 3.44-3.61, 4 Th 3.45-3.55
Th (0.0000, 0.5000, 0.5000) (multiplicity 2)  4 Er 3.38
Th (0.1518, 0.0000, 0.0906) (multiplicity 4)  9 Er 3.39-3.55, 1 Th 3.53, 2 Y 3.58
Th (0.2483, 0.5000, 0.4935) (multiplicity 4)  9 Er 3.39-3.51, 3 Th 3.47-3.53

***

ii:
Computed, not measured: a relaxed structure of Y2Er12Th5 at the PBE level of DFT.

## Properties
Density of states at the Fermi level in states/eV/atom: 1.572
Crystal system: monoclinic
Calculated density in g cm⁻³: 9.1

Cell lengths 18.5669, 6.9976, 10.1946 Å; angles 90.00, 113.13, 90.00 degrees
With the nearest neighbours (Å) after each atom.
Space group C2/m (No. 12)
Symmetry-distinct sites (fractional):
Y (0.0000, 0.2185, 0.0000) (multiplicity 4)  2 Er 3.02, 1 Y 3.06
Er (0.0039, 0.0000, 0.3254) (multiplicity 4)  7 Er 3.36-3.68, 2 Y 3.63
Er (0.0289, 0.5000, 0.2402) (multiplicity 4)  2 Th 2.90-3.22, 2 Y 3.02
Er (0.1573, 0.2540, 0.8633) (multiplicity 8)  6 Er 3.36-3.63, 2 Th 3.52-3.57, 1 Y 3.70
Er (0.1665, 0.2512, 0.5167) (multiplicity 8)  6 Er 3.25-3.60, 2 Th 3.49-3.56
Th (0.0000, 0.5000, 0.5000) (multiplicity 2)  2 Er 2.90
Th (0.1800, 0.0000, 0.2109) (multiplicity 4)  2 Th 3.52, 2 Y 3.53, 9 Er 3.56-3.88
Th (0.1872, 0.5000, 0.1812) (multiplicity 4)  5 Er 3.22-3.57, 2 Th 3.52

***

i (5.7 kJ/mol of atoms below the next structure)

***

i:
Computed, not measured: a relaxed structure of Y3Er3Th at the PBE level of DFT.

## Properties
Density of states at the Fermi level in states/eV/atom: 1.540
Crystal system: monoclinic
Calculated density in g cm⁻³: 7.3

Cell lengths 8.8379, 9.7351, 10.5306 Å; angles 90.00, 90.95, 90.00 degrees
With the nearest neighbours (Å) after each atom.
Space group C2/m (No. 12)
Symmetry-distinct sites (fractional):
Y (0.0249, 0.0000, 0.2535) (multiplicity 4)  5 Er 3.20-3.25, 1 Th 3.32, 4 Y 3.41-3.46
Y (0.1932, 0.3211, 0.2473) (multiplicity 8)  4 Er 3.37-3.77, 3 Y 3.41-3.48
Er (0.0000, 0.1826, 0.0000) (multiplicity 4)  4 Y 3.21-3.37, 4 Th 3.53-3.54, 1 Er 3.56
Er (0.0000, 0.1912, 0.5000) (multiplicity 4)  4 Y 3.20-3.43, 4 Er 3.45-3.48
Er (0.1768, 0.5000, 0.5617) (multiplicity 4)  1 Y 3.25, 5 Er 3.37-3.48
Th (0.1657, 0.5000, 0.9205) (multiplicity 4)  1 Y 3.32, 1 Th 3.40, 4 Er 3.53-3.54

***

ii:
Computed, not measured: a relaxed structure of Y3Er3Th at the PBE level of DFT.

## Properties
Density of states at the Fermi level in states/eV/atom: 1.854
Crystal system: trigonal
Calculated density in g cm⁻³: 7.1

Cell lengths 10.0501, 10.0501, 8.0077 Å; angles 90.00, 90.00, 120.00 degrees
With the nearest neighbours (Å) after each atom.
Space group R3m (No. 160, hexagonal axes)
Symmetry-distinct sites (fractional):
Y (0.0560, 0.5280, 0.0000) (multiplicity 9)  2 Th 3.23-3.43, 5 Er 3.38-3.52
Er (0.0968, 0.5484, 0.5708) (multiplicity 9)  1 Th 3.18, 5 Y 3.38-3.52
Th (0.0000, 0.0000, 0.6019) (multiplicity 3)  3 Er 3.18, 6 Y 3.23-3.43

***

i (11.8 kJ/mol of atoms below the next structure)